## RbCuAsAu (GGA-PBE)

Data for a geometry-optimized RbCuAsAu structure.

Computed properties:
* SG: F-43m, No. 216
* E above lowest polymorph: 0 meV per atom

```
4
Lattice="0.000 3.550 3.550 3.550 0.000 3.550 3.550 3.550 0.000" Properties=species:S:1:pos:R:3 pbc="T T T"
Rb 0.000 0.000 0.000
Cu 1.775 1.775 1.775
As 3.550 3.550 3.550
Au 5.325 5.325 5.325
```